Entry 1:
ZrBeW4: relaxed, GGA-PBE.

symmetry: No. 216
formation energy from the elements: 446 meV per atom
V: 17.69 Å³/atom
total magnetization: 0.00 Bohr magnetons per cell
VASP energy: -10.2355 eV per atom

Cell lengths 5.314, 5.314, 5.314 Å; angles 60.00, 60.00, 60.00 degrees
Sites, in units of the cell vectors:
Zr: 0.000 0.000 0.000
Be: 0.750 0.750 0.750
W: 0.376 0.376 0.376
W: 0.376 0.376 0.872
W: 0.376 0.872 0.376
W: 0.872 0.376 0.376

Entry 2:
TlGaHg3: relaxed, GGA-PBE.

symmetry: No. 221
formation energy from the elements: 74 meV per atom
V: 30.43 Å³/atom
total magnetization: 0.00 Bohr magnetons per cell
VASP energy: -1.1862 eV per atom

Cell lengths 5.339, 5.339, 5.339 Å; angles 90.00, 90.00, 90.00 degrees
Sites, in units of the cell vectors:
Tl: 0.000 0.000 0.000
Ga: 0.500 0.500 0.500
Hg: 0.000 0.500 0.500
Hg: 0.500 0.000 0.500
Hg: 0.500 0.500 0.000

Entry 3:
VSiAg2As: relaxed, GGA-PBE.

symmetry: No. 123
E_form (uncorrected): 1020 meV/atom
V: 23.37 Å³/atom
total magnetization: 2.00 Bohr magnetons per cell
VASP energy: -3.9588 eV per atom

Cell lengths 5.030, 5.030, 4.619 Å; angles 90.00, 90.00, 90.00 degrees
Sites, in units of the cell vectors:
V: 0.000 0.000 0.000
Si: 0.500 0.500 0.500
Ag: 0.000 0.500 0.000
Ag: 0.500 0.000 0.000
As: 0.000 0.000 0.500

Entry 4:
Ag2Sb2Cl7: relaxed, GGA-PBE.

symmetry: No. 15
E_form (uncorrected): -540 meV/atom
V: 31.41 Å³/atom
total magnetization: 0.00 Bohr magnetons per cell
VASP energy: -2.9834 eV per atom

Cell lengths 7.889, 7.889, 12.736 Å; angles 110.26, 110.26, 76.06 degrees
Sites, in units of the cell vectors:
Ag: 0.004 0.747 0.985
Ag: 0.253 0.996 0.515
Ag: 0.747 0.004 0.485
Ag: 0.996 0.253 0.015
Sb: 0.058 0.530 0.758
Sb: 0.470 0.942 0.742
Sb: 0.530 0.058 0.258
Sb: 0.942 0.470 0.242
Cl: 0.051 0.752 0.440
Cl: 0.168 0.529 0.149
Cl: 0.178 0.271 0.343
Cl: 0.248 0.949 0.060
Cl: 0.271 0.178 0.843
Cl: 0.329 0.671 0.750
Cl: 0.471 0.832 0.351
Cl: 0.529 0.168 0.649
Cl: 0.671 0.329 0.250
Cl: 0.729 0.822 0.157
Cl: 0.752 0.051 0.940
Cl: 0.822 0.729 0.657
Cl: 0.832 0.471 0.851
Cl: 0.949 0.248 0.560

What is the formula in the fourth record?
Ag2Sb2Cl7

What is the VASP energy in the third record?
-3.9588 eV per atom